(1)
Compound: UTlRhSe3
Source: the Alexandria database
Functional: PBE-GGA
Structure: relaxed

Cell lengths 9.078, 4.079, 9.463 Å; angles 90.00, 109.15, 90.00 degrees
Fractional positions:
U (0.182, 0.250, 0.160)
U (0.818, 0.750, 0.840)
Tl (0.307, 0.750, 0.758)
Tl (0.693, 0.250, 0.242)
Rh (0.409, 0.750, 0.409)
Rh (0.591, 0.250, 0.591)
Se (0.041, 0.250, 0.841)
Se (0.293, 0.250, 0.472)
Se (0.383, 0.750, 0.132)
Se (0.617, 0.250, 0.868)
Se (0.707, 0.750, 0.528)
Se (0.959, 0.750, 0.159)

Output
The total magnetization comes out at 1.9 μB/f.u. For the formation energy from raw total energies, the calculation gives -733 meV per atom. The total energy is -5.9764 eV per atom.

***

(2)
Compound: U3Tl4RhSe8
Source: the Alexandria database
Functional: PBE-GGA
Structure: relaxed

Cell lengths 7.958, 7.958, 9.279 Å; angles 115.33, 115.33, 60.03 degrees
Fractional positions:
U (0.000, 0.000, 0.000)
U (0.000, 0.500, 0.000)
U (0.500, 0.000, 0.000)
Tl (0.000, 0.000, 0.500)
Tl (0.000, 0.500, 0.500)
Tl (0.500, 0.000, 0.500)
Tl (0.500, 0.500, 0.500)
Rh (0.500, 0.500, 0.000)
Se (0.237, 0.237, 0.212)
Se (0.250, 0.723, 0.197)
Se (0.276, 0.276, 0.803)
Se (0.277, 0.750, 0.803)
Se (0.723, 0.250, 0.197)
Se (0.724, 0.724, 0.197)
Se (0.750, 0.277, 0.803)
Se (0.763, 0.763, 0.788)

Output
The total magnetization comes out at 7.5 μB/f.u. For the formation energy from raw total energies, the calculation gives -742 meV per atom. The total energy is -5.6519 eV per atom.

***

(3)
Compound: Tl2VRh2Se6
Source: the Alexandria database
Functional: PBE-GGA
Structure: relaxed

Cell lengths 6.469, 6.469, 7.798 Å; angles 97.97, 97.97, 120.01 degrees
Fractional positions:
Tl (0.164, 0.836, 0.000)
Tl (0.836, 0.164, 0.000)
V (0.000, 0.000, 0.500)
Rh (0.331, 0.669, 0.500)
Rh (0.669, 0.331, 0.500)
Se (0.061, 0.395, 0.679)
Se (0.275, 0.275, 0.322)
Se (0.395, 0.061, 0.679)
Se (0.605, 0.939, 0.321)
Se (0.725, 0.725, 0.678)
Se (0.939, 0.605, 0.321)

Output
The total magnetization comes out at 1.2 μB/f.u. For the formation energy from raw total energies, the calculation gives -441 meV per atom. The total energy is -4.9379 eV per atom.

***

- formation energy from raw total energies of number 2 (U3Tl4RhSe8)?
  -742 meV per atom

***

- The highest formation energy from raw total energies belongs to which entry?
  Tl2VRh2Se6

***

- Look up the formation energy from raw total energies of the third one.
  -441 meV per atom

***

- Among the records above, which one has the highest formation energy from raw total energies?
  Tl2VRh2Se6